[1]
Material: NiSbOs2
Method: DFT, PBE
State: relaxed

Results
As for the uncorrected formation energy: 2.45 eV/f.u.

Structure (CIF):
```
data_NiSbOs2
_chemical_formula_sum 'Ni4 Sb4 Os8'
_space_group_name_H-M_alt 'F -4 3 m'
_space_group_IT_number 216
_space_group_name_Hall 'F -4 2 3'
_cell_length_a 6.254
_cell_length_b 6.254
_cell_length_c 6.254
_cell_angle_alpha 90.00
_cell_angle_beta 90.00
_cell_angle_gamma 90.00
loop_
_atom_site_label
_atom_site_fract_x
_atom_site_fract_y
_atom_site_fract_z
_atom_site_occupancy
Ni1 0.000 0.000 0.000 1
Sb1 0.250 0.250 0.750 1
Os1 0.000 0.000 0.500 1
Os2 0.250 0.250 0.250 1
```

---

[2]
Material: NaCu2AgCl8
Method: DFT, PBE
State: relaxed

Results
As for the uncorrected formation energy: -5.90 eV/f.u.

Structure (CIF):
```
data_NaCu2AgCl8
_chemical_formula_sum 'Na2 Cu4 Ag2 Cl16'
_space_group_name_H-M_alt 'I -4 m 2'
_space_group_IT_number 119
_space_group_name_Hall 'I -4 -2'
_cell_length_a 8.964
_cell_length_b 8.964
_cell_length_c 7.860
_cell_angle_alpha 90.00
_cell_angle_beta 90.00
_cell_angle_gamma 90.00
loop_
_atom_site_label
_atom_site_fract_x
_atom_site_fract_y
_atom_site_fract_z
_atom_site_occupancy
Na1 0.000 0.000 0.000 1
Cu1 0.000 0.000 0.500 1
Cu2 0.000 0.500 0.250 1
Ag1 0.000 0.500 0.750 1
Cl1 0.000 0.184 0.688 1
Cl2 0.000 0.324 0.053 1
```

---

[3]
Material: Ce2NdSm3S6
Method: DFT, PBE
State: relaxed

Results
As for the uncorrected formation energy: -24.46 eV/f.u.

Structure (CIF):
```
data_Ce2NdSm3S6
_chemical_formula_sum 'Ce4 Nd2 Sm6 S12'
_space_group_name_H-M_alt 'C 1 2/m 1'
_space_group_IT_number 12
_space_group_name_Hall '-C 2y'
_cell_length_a 6.959
_cell_length_b 12.064
_cell_length_c 6.988
_cell_angle_alpha 90.00
_cell_angle_beta 109.47
_cell_angle_gamma 90.00
loop_
_atom_site_label
_atom_site_fract_x
_atom_site_fract_y
_atom_site_fract_z
_atom_site_occupancy
Ce1 0.000 0.166 0.000 1
Nd1 0.000 0.500 0.000 1
Sm1 0.000 0.000 0.500 1
Sm2 0.000 0.336 0.500 1
S1 0.248 0.000 0.252 1
S2 0.248 0.168 0.746 1
```